! Li2PuMgTe4 (GGA-PBE, optimized geometry); values from VASP
! uncorrected formation energy: -0.863 eV per atom
! space-group type: P2/m, No. 10
! N(E_F): 13.119 states/eV per cell
! calculated total energy: -4.904 eV/atom
&SYSTEM
  ibrav = 0, nat = 8, ntyp = 4
/
ATOMIC_SPECIES
Te 127.60 Te.upf
Li 6.94 Li.upf
Mg 24.30 Mg.upf
Pu 244.00 Pu.upf
ATOMIC_POSITIONS angstrom
Te 4.5621 -1.0254 2.1352
Te 5.4484 3.1334 2.2714
Te 3.4804 3.6679 -1.4179
Li 0.8720 4.1907 0.1098
Te 1.5098 1.8724 1.8974
Mg 2.0650 -0.5063 3.7004
Pu 0.0000 0.0000 0.0000
Li 4.0212 1.3213 0.3586
CELL_PARAMETERS angstrom
-1.0843 2.3632 3.4516
5.2142 -3.3757 3.9492
2.8283 6.0183 -3.2320

***

! K3VAg (GGA-PBE, optimized geometry); values from VASP
! space-group type: Pm-3m, No. 221
! excess energy over the best structure of this formula in the dataset: 0 meV/atom
! N(E_F): 9.045 states/eV per cell
! formation enthalpy at 0 K: 82.4 kJ per mole of atoms
! calculated total energy: -2.198 eV/atom
&SYSTEM
  ibrav = 0, nat = 5, ntyp = 3
/
ATOMIC_SPECIES
Ag 107.87 Ag.upf
K 39.10 K.upf
V 50.94 V.upf
ATOMIC_POSITIONS angstrom
Ag 0.0000 0.0000 0.0000
K -1.3775 1.9876 -2.0712
K -2.6278 0.0516 1.7973
V -2.8498 4.5262 1.3441
K 1.1555 2.4869 1.6181
CELL_PARAMETERS angstrom
-2.7551 3.9752 -4.1424
-5.2556 0.1032 3.5945
2.3110 4.9738 3.2361

***

! Na2MnGaS4 (GGA-PBE, optimized geometry); values from VASP
! uncorrected formation energy: -0.845 eV per atom
! space-group type: I-4, No. 82
! calculated total energy: -4.763 eV/atom
&SYSTEM
  ibrav = 0, nat = 8, ntyp = 4
/
ATOMIC_SPECIES
S 32.06 S.upf
Na 22.99 Na.upf
Ga 69.72 Ga.upf
Mn 54.94 Mn.upf
ATOMIC_POSITIONS angstrom
S 5.0566 2.1067 1.0546
Na 0.0012 0.0012 1.8987
S 2.1068 1.5745 2.7414
S -2.1031 -1.5716 2.7450
Na 0.0004 3.3155 3.9151
Ga 3.3170 0.0022 3.9132
Mn 3.3154 3.3161 1.8981
S 1.5729 4.5245 1.0558
CELL_PARAMETERS angstrom
6.6291 0.0006 -0.0036
-0.0010 6.6297 -0.0031
-3.3118 -3.3133 4.0324